20
Lattice="10.661 0.000 0.000 0.000 6.202 0.000 0.000 0.000 8.299" Properties=species:S:1:pos:R:3 comment="TmInSn3 PBE-GGA relaxed" de_polymorph_mev_per_atom=47 m_tot_mub_per_atom=0.000 pbc="T T T"
Tm 2.150 1.550 1.257
Tm 3.180 4.651 5.406
Tm 7.480 1.550 2.893
Tm 8.511 4.651 7.042
In 1.859 1.550 4.412
In 3.471 4.651 0.262
In 7.190 1.550 8.037
In 8.801 4.651 3.887
Sn 0.748 3.126 6.943
Sn 0.748 6.176 6.943
Sn 1.499 4.651 2.765
Sn 3.831 1.550 6.915
Sn 4.582 0.025 2.793
Sn 4.582 3.076 2.793
Sn 6.078 3.126 5.505
Sn 6.078 6.176 5.505
Sn 6.830 4.651 1.384
Sn 9.161 1.550 5.534
Sn 9.912 0.025 1.356
Sn 9.912 3.076 1.356